Record 1
! TbFe4Ni8 | Alexandria via LeMat-Bulk | PBE | optimized geometry; values from VASP
! Total magnetization in μB/cell: 13.87
! VASP energy in eV per cell: -86.18
&SYSTEM
  ibrav = 0, nat = 13, ntyp = 3
/
ATOMIC_SPECIES
Tb 158.93 Tb.upf
Fe 55.84 Fe.upf
Ni 58.69 Ni.upf
CELL_PARAMETERS angstrom
-4.157 4.157 2.355
4.157 -4.157 2.355
4.157 4.157 -2.355
ATOMIC_POSITIONS crystal
Tb 0.000 0.000 0.000
Fe 0.000 0.000 0.500
Fe 0.000 0.500 0.000
Fe 0.500 0.000 0.000
Fe 0.500 0.500 0.500
Ni 0.000 0.353 0.353
Ni 0.000 0.647 0.647
Ni 0.276 0.500 0.776
Ni 0.353 0.000 0.353
Ni 0.500 0.276 0.776
Ni 0.500 0.724 0.224
Ni 0.647 0.000 0.647
Ni 0.724 0.500 0.224



Record 2
! TbFeNi | Alexandria via LeMat-Bulk | PBE | optimized geometry; values from VASP
! Total magnetization in μB/cell: 9.08
! VASP energy in eV per cell: -73.29
&SYSTEM
  ibrav = 0, nat = 12, ntyp = 3
/
ATOMIC_SPECIES
Tb 158.93 Tb.upf
Fe 55.84 Fe.upf
Ni 58.69 Ni.upf
CELL_PARAMETERS angstrom
6.677 0.000 0.000
0.000 6.677 0.000
0.000 0.000 5.353
ATOMIC_POSITIONS crystal
Tb 0.225 0.225 0.000
Tb 0.275 0.725 0.250
Tb 0.725 0.275 0.750
Tb 0.775 0.775 0.500
Fe 0.068 0.068 0.500
Fe 0.432 0.568 0.750
Fe 0.568 0.432 0.250
Fe 0.932 0.932 0.000
Ni 0.188 0.812 0.750
Ni 0.312 0.312 0.500
Ni 0.688 0.688 0.000
Ni 0.812 0.188 0.250



Record 3
! TbFe2Ni4 | Alexandria via LeMat-Bulk | PBE | optimized geometry; values from VASP
! Total magnetization in μB/cell: 6.63
! VASP energy in eV per cell: -46.02
&SYSTEM
  ibrav = 0, nat = 7, ntyp = 3
/
ATOMIC_SPECIES
Tb 158.93 Tb.upf
Fe 55.84 Fe.upf
Ni 58.69 Ni.upf
CELL_PARAMETERS angstrom
3.930 -3.119 0.000
3.930 3.119 0.000
-2.917 0.000 3.808
ATOMIC_POSITIONS crystal
Tb 0.000 0.000 0.000
Fe 0.500 0.500 0.250
Fe 0.500 0.500 0.750
Ni 0.000 0.392 0.696
Ni 0.000 0.608 0.304
Ni 0.392 0.000 0.696
Ni 0.608 0.000 0.304



Record 4
! Tb3Fe7Ni2 | Alexandria via LeMat-Bulk | PBE | optimized geometry; values from VASP
! Total magnetization in μB/cell: 14.81
! VASP energy in eV per cell: -86.10
&SYSTEM
  ibrav = 0, nat = 12, ntyp = 3
/
ATOMIC_SPECIES
Tb 158.93 Tb.upf
Fe 55.84 Fe.upf
Ni 58.69 Ni.upf
CELL_PARAMETERS angstrom
2.522 1.456 8.291
-2.522 1.456 8.291
0.000 -2.912 8.291
ATOMIC_POSITIONS crystal
Tb 0.000 0.000 0.000
Tb 0.142 0.142 0.142
Tb 0.858 0.858 0.858
Fe 0.083 0.581 0.581
Fe 0.419 0.419 0.917
Fe 0.419 0.917 0.419
Fe 0.500 0.500 0.500
Fe 0.581 0.083 0.581
Fe 0.581 0.581 0.083
Fe 0.917 0.419 0.419
Ni 0.332 0.332 0.332
Ni 0.668 0.668 0.668



Record 5
! Tb8FeNi2 | Alexandria via LeMat-Bulk | PBE | optimized geometry; values from VASP
! Total magnetization in μB/cell: 0.00
! VASP energy in eV per cell: -58.21
&SYSTEM
  ibrav = 0, nat = 11, ntyp = 3
/
ATOMIC_SPECIES
Tb 158.93 Tb.upf
Fe 55.84 Fe.upf
Ni 58.69 Ni.upf
CELL_PARAMETERS angstrom
8.502 -2.510 0.000
8.502 2.510 0.000
-1.813 0.000 6.363
ATOMIC_POSITIONS crystal
Tb 0.035 0.035 0.295
Tb 0.200 0.200 0.823
Tb 0.332 0.332 0.526
Tb 0.410 0.410 0.060
Tb 0.590 0.590 0.940
Tb 0.668 0.668 0.474
Tb 0.800 0.800 0.177
Tb 0.965 0.965 0.705
Fe 0.500 0.500 0.500
Ni 0.189 0.189 0.218
Ni 0.811 0.811 0.782



Record 6
! Tb3FeNi8 | Alexandria via LeMat-Bulk | PBE | optimized geometry; values from VASP
! Total magnetization in μB/cell: 4.35
! VASP energy in eV per cell: -72.30
&SYSTEM
  ibrav = 0, nat = 12, ntyp = 3
/
ATOMIC_SPECIES
Tb 158.93 Tb.upf
Fe 55.84 Fe.upf
Ni 58.69 Ni.upf
CELL_PARAMETERS angstrom
2.492 1.439 8.147
-2.492 1.439 8.147
0.000 -2.878 8.147
ATOMIC_POSITIONS crystal
Tb 0.000 0.000 0.000
Tb 0.130 0.130 0.130
Tb 0.612 0.612 0.612
Fe 0.487 0.487 0.487
Ni 0.058 0.058 0.562
Ni 0.058 0.562 0.058
Ni 0.065 0.562 0.562
Ni 0.311 0.311 0.311
Ni 0.562 0.058 0.058
Ni 0.562 0.065 0.562
Ni 0.562 0.562 0.065
Ni 0.812 0.812 0.812



Record 7
! TbYFeNi | Alexandria via LeMat-Bulk | PBE | optimized geometry; values from VASP
! Total magnetization in μB/cell: 0.54
! VASP energy in eV per cell: -25.56
&SYSTEM
  ibrav = 0, nat = 4, ntyp = 4
/
ATOMIC_SPECIES
Tb 158.93 Tb.upf
Y 88.91 Y.upf
Fe 55.84 Fe.upf
Ni 58.69 Ni.upf
CELL_PARAMETERS angstrom
0.000 3.368 3.368
3.368 0.000 3.368
3.368 3.368 0.000
ATOMIC_POSITIONS crystal
Tb 0.000 0.000 0.000
Y 0.500 0.500 0.500
Fe 0.750 0.750 0.750
Ni 0.250 0.250 0.250



Record 8
! Tb2Zn2FeNi5 | Alexandria via LeMat-Bulk | PBE | optimized geometry; values from VASP
! Total magnetization in μB/cell: 6.89
! VASP energy in eV per cell: -101.86
&SYSTEM
  ibrav = 0, nat = 20, ntyp = 4
/
ATOMIC_SPECIES
Tb 158.93 Tb.upf
Zn 65.41 Zn.upf
Fe 55.84 Fe.upf
Ni 58.69 Ni.upf
CELL_PARAMETERS angstrom
9.299 0.000 0.000
0.000 9.299 0.000
0.000 0.000 3.485
ATOMIC_POSITIONS crystal
Tb 0.177 0.323 0.000
Tb 0.323 0.823 0.000
Tb 0.677 0.177 0.000
Tb 0.823 0.677 0.000
Zn 0.122 0.622 0.000
Zn 0.378 0.122 0.000
Zn 0.622 0.878 0.000
Zn 0.878 0.378 0.000
Fe 0.000 0.000 0.000
Fe 0.500 0.500 0.000
Ni 0.000 0.500 0.500
Ni 0.055 0.806 0.500
Ni 0.194 0.055 0.500
Ni 0.306 0.555 0.500
Ni 0.445 0.306 0.500
Ni 0.500 0.000 0.500
Ni 0.555 0.694 0.500
Ni 0.694 0.445 0.500
Ni 0.806 0.945 0.500
Ni 0.945 0.194 0.500